TmTh2Sb2Te2 | Alexandria via LeMat-Bulk | PBE | relaxed; DFT total energy = -5.468 eV per atom; space-group type = I4/mmm, No. 139; N(E_F) = 2.84 states/eV per cell; energy relative to the elements, uncorrected = -61.2 kJ per mole of atoms
1.0
-2.819 2.819 7.850
2.819 -2.819 7.850
2.819 2.819 -7.850
Tm Th Sb Te
1 2 2 2
direct
0.000 0.000 0.000
0.387 0.387 0.000
0.613 0.613 0.000
0.000 0.500 0.500
0.500 0.000 0.500
0.191 0.191 0.000
0.809 0.809 0.000


YThSbTe | Alexandria via LeMat-Bulk | PBE | relaxed; E above lowest polymorph = 108.5 meV/atom; DFT total energy = -6.276 eV per atom; space-group type = F-43m, No. 216; N(E_F) = 3.82 states/eV per cell; energy relative to the elements, uncorrected = -95.4 kJ per mole of atoms
1.0
0.000 3.825 3.825
3.825 0.000 3.825
3.825 3.825 0.000
Y Th Sb Te
1 1 1 1
direct
0.000 0.000 0.000
0.500 0.500 0.500
0.250 0.250 0.250
0.750 0.750 0.750


YThSbTe | Alexandria via LeMat-Bulk | PBE | relaxed; E above lowest polymorph = 0.0 meV/atom; DFT total energy = -6.384 eV per atom; space-group type = P4/mmm, No. 123; N(E_F) = 2.87 states/eV per cell; energy relative to the elements, uncorrected = -105.9 kJ per mole of atoms
1.0
4.438 0.000 0.000
0.000 4.438 0.000
0.000 0.000 6.290
Y Th Sb Te
1 1 1 1
direct
0.000 0.000 0.000
0.500 0.500 0.500
0.500 0.500 0.000
0.000 0.000 0.500


ThZrSbTe | Alexandria via LeMat-Bulk | PBE | relaxed; DFT total energy = -6.602 eV per atom; space-group type = F-43m, No. 216; N(E_F) = 3.68 states/eV per cell; energy relative to the elements, uncorrected = -76.6 kJ per mole of atoms
1.0
0.000 3.725 3.725
3.725 0.000 3.725
3.725 3.725 0.000
Th Zr Sb Te
1 1 1 1
direct
0.000 0.000 0.000
0.500 0.500 0.500
0.250 0.250 0.250
0.750 0.750 0.750


Ti3SbTe | Alexandria via LeMat-Bulk | PBE | relaxed; E above lowest polymorph = 1022.8 meV/atom; DFT total energy = -5.628 eV per atom; space-group type = Pm-3m, No. 221; N(E_F) = 6.65 states/eV per cell; energy relative to the elements, uncorrected = 54.2 kJ per mole of atoms
1.0
5.043 0.000 0.000
0.000 5.043 0.000
0.000 0.000 5.043
Ti Sb Te
3 1 1
direct
0.000 0.000 0.500
0.000 0.500 0.000
0.500 0.000 0.000
0.500 0.500 0.500
0.000 0.000 0.000


TiSbTe2 | Alexandria via LeMat-Bulk | PBE | relaxed; DFT total energy = -4.921 eV per atom; space-group type = R-3m, No. 166; N(E_F) = 2.62 states/eV per cell; energy relative to the elements, uncorrected = -33.4 kJ per mole of atoms
1.0
1.843 1.064 9.674
-1.843 1.064 9.674
0.000 -2.128 9.674
Ti Sb Te
1 1 2
direct
0.000 0.000 0.000
0.500 0.500 0.500
0.394 0.394 0.394
0.606 0.606 0.606


TiSbTe2 | Alexandria via LeMat-Bulk | PBE | relaxed; DFT total energy = -4.554 eV per atom; space-group type = I-42d, No. 122; N(E_F) = 9.13 states/eV per cell; energy relative to the elements, uncorrected = 2.0 kJ per mole of atoms
1.0
-3.961 3.961 3.584
3.961 -3.961 3.584
3.961 3.961 -3.584
Ti Sb Te
2 2 4
direct
0.000 0.000 0.000
0.750 0.250 0.500
0.250 0.750 0.500
0.500 0.500 0.000
0.089 0.625 0.964
0.375 0.339 0.464
0.661 0.125 0.036
0.875 0.911 0.536


TiSbTe2 | Alexandria via LeMat-Bulk | PBE | relaxed; DFT total energy = -4.185 eV per atom; space-group type = R-3m, No. 166; N(E_F) = 3.17 states/eV per cell; energy relative to the elements, uncorrected = 37.6 kJ per mole of atoms
1.0
2.105 1.216 9.096
-2.105 1.216 9.096
0.000 -2.431 9.096
Ti Sb Te
1 1 2
direct
0.000 0.000 0.000
0.500 0.500 0.500
0.099 0.099 0.099
0.901 0.901 0.901


Ti3SbTe | Alexandria via LeMat-Bulk | PBE | relaxed; E above lowest polymorph = 0.0 meV/atom; DFT total energy = -6.651 eV per atom; space-group type = Pnma, No. 62; N(E_F) = 13.29 states/eV per cell; energy relative to the elements, uncorrected = -44.5 kJ per mole of atoms
1.0
6.883 0.000 0.000
0.000 4.064 0.000
0.000 0.000 14.442
Ti Sb Te
12 4 4
direct
0.004 0.250 0.105
0.139 0.750 0.265
0.168 0.250 0.578
0.332 0.750 0.078
0.361 0.250 0.765
0.496 0.750 0.605
0.504 0.250 0.395
0.639 0.750 0.235
0.668 0.250 0.922
0.832 0.750 0.422
0.861 0.250 0.735
0.996 0.750 0.895
0.127 0.750 0.707
0.373 0.250 0.207
0.627 0.750 0.793
0.873 0.250 0.293
0.239 0.750 0.449
0.261 0.250 0.949
0.739 0.750 0.051
0.761 0.250 0.551


Ti6Sb3Te | Alexandria via LeMat-Bulk | PBE | relaxed; DFT total energy = -6.593 eV per atom; space-group type = Cmc2_1, No. 36; N(E_F) = 18.28 states/eV per cell; energy relative to the elements, uncorrected = -29.5 kJ per mole of atoms
1.0
4.683 -6.468 0.000
4.683 6.468 0.000
0.000 0.000 7.049
Ti Sb Te
12 6 2
direct
0.037 0.963 0.500
0.056 0.556 0.475
0.248 0.752 0.138
0.270 0.413 0.058
0.413 0.270 0.558
0.444 0.944 0.475
0.556 0.056 0.975
0.587 0.730 0.058
0.730 0.587 0.558
0.752 0.248 0.638
0.944 0.444 0.975
0.963 0.037 0.000
0.108 0.287 0.716
0.287 0.108 0.216
0.413 0.587 0.394
0.587 0.413 0.894
0.713 0.892 0.716
0.892 0.713 0.216
0.184 0.816 0.769
0.816 0.184 0.269


Ti12Sb5Te2 | Alexandria via LeMat-Bulk | PBE | relaxed; DFT total energy = -6.546 eV per atom; space-group type = C2/m, No. 12; N(E_F) = 21.69 states/eV per cell; energy relative to the elements, uncorrected = -13.9 kJ per mole of atoms
1.0
7.495 -3.710 0.000
7.495 3.710 0.000
-2.588 0.000 7.388
Ti Sb Te
12 5 2
direct
0.033 0.033 0.297
0.065 0.543 0.801
0.088 0.682 0.421
0.318 0.912 0.579
0.439 0.439 0.772
0.457 0.935 0.199
0.543 0.065 0.801
0.561 0.561 0.228
0.682 0.088 0.421
0.912 0.318 0.579
0.935 0.457 0.199
0.967 0.967 0.703
0.188 0.188 0.914
0.256 0.256 0.480
0.500 0.500 0.500
0.744 0.744 0.520
0.812 0.812 0.086
0.229 0.771 0.000
0.771 0.229 0.000


TiSb3Te | Alexandria via LeMat-Bulk | PBE | relaxed; E above lowest polymorph = 0.0 meV/atom; DFT total energy = -4.486 eV per atom; space-group type = Pm-3m, No. 221; N(E_F) = 6.77 states/eV per cell; energy relative to the elements, uncorrected = 18.7 kJ per mole of atoms
1.0
5.279 0.000 0.000
0.000 5.279 0.000
0.000 0.000 5.279
Ti Sb Te
1 3 1
direct
0.000 0.000 0.000
0.000 0.000 0.500
0.000 0.500 0.000
0.500 0.000 0.000
0.500 0.500 0.500


- The lowest DFT total energy belongs to which entry?
  number 9